# MgBi

MgBi after structural relaxation (PBE, Alexandria via LeMat-Bulk).

Results
E_tot   -2.49 eV per atom
DFT formation energy   244 meV per atom

Cell lengths 8.2627, 8.2627, 8.2627 Å; angles 90.00, 90.00, 90.00 degrees
Last column: nearest neighbours and their distance in Å.
Sites, in units of the cell vectors:
Mg (0.0000, 0.2500, 0.5000)  4 Bi 2.92
Mg (0.0000, 0.7500, 0.5000)  4 Bi 2.92
Mg (0.2500, 0.5000, 0.0000)  4 Bi 2.92
Mg (0.5000, 0.0000, 0.2500)  4 Bi 2.92
Mg (0.5000, 0.0000, 0.7500)  4 Bi 2.92
Mg (0.7500, 0.5000, 0.0000)  4 Bi 2.92
Bi (0.0000, 0.5000, 0.2500)  4 Mg 2.92
Bi (0.0000, 0.5000, 0.7500)  4 Mg 2.92
Bi (0.2500, 0.0000, 0.5000)  4 Mg 2.92
Bi (0.5000, 0.2500, 0.0000)  4 Mg 2.92
Bi (0.5000, 0.7500, 0.0000)  4 Mg 2.92
Bi (0.7500, 0.0000, 0.5000)  4 Mg 2.92

# Pm2NdDy5

Pm2NdDy5 after structural relaxation (PBE, Alexandria via LeMat-Bulk).

Results
Energy above the lowest structure with this stoichiometry   0.000 eV per formula unit
E_tot   -4.64 eV per atom
DFT formation energy   17 meV per atom

Cell lengths 7.1761, 14.3541, 5.0654 Å; angles 90.00, 90.00, 90.00 degrees
Last column: nearest neighbours and their distance in Å.
Sites, in units of the cell vectors:
Pm (0.2485, 0.1258, 0.0000)  10 Dy 3.57-3.61, 2 Nd 3.60
Pm (0.2515, 0.6258, 0.0000)  10 Dy 3.57-3.61, 2 Nd 3.60
Pm (0.7485, 0.3742, 0.0000)  10 Dy 3.57-3.61, 2 Nd 3.60
Pm (0.7515, 0.8742, 0.0000)  10 Dy 3.57-3.61, 2 Nd 3.60
Nd (0.0000, 0.5000, 0.5000)  8 Dy 3.59-3.60, 4 Pm 3.60
Nd (0.5000, 0.0000, 0.5000)  8 Dy 3.59-3.60, 4 Pm 3.60
Dy (0.0000, 0.0000, 0.5000)  6 Dy 3.58-3.59, 4 Pm 3.59, 2 Nd 3.59
Dy (0.0010, 0.7509, 0.5000)  4 Pm 3.57-3.59, 7 Dy 3.57-3.59, 1 Nd 3.60
Dy (0.2495, 0.3744, 0.0000)  4 Pm 3.57-3.61, 6 Dy 3.57-3.59, 2 Nd 3.59
Dy (0.2505, 0.8744, 0.0000)  4 Pm 3.57-3.61, 6 Dy 3.57-3.59, 2 Nd 3.59
Dy (0.4990, 0.2509, 0.5000)  4 Pm 3.57-3.59, 7 Dy 3.57-3.59, 1 Nd 3.60
Dy (0.5000, 0.5000, 0.5000)  6 Dy 3.58-3.59, 4 Pm 3.59, 2 Nd 3.59
Dy (0.5010, 0.7491, 0.5000)  4 Pm 3.57-3.59, 7 Dy 3.57-3.59, 1 Nd 3.60
Dy (0.7495, 0.1256, 0.0000)  4 Pm 3.57-3.61, 6 Dy 3.57-3.59, 2 Nd 3.59
Dy (0.7505, 0.6256, 0.0000)  4 Pm 3.57-3.61, 6 Dy 3.57-3.59, 2 Nd 3.59
Dy (0.9990, 0.2491, 0.5000)  4 Pm 3.57-3.59, 7 Dy 3.57-3.59, 1 Nd 3.60

Number 1: mass density 4.12 g/cm³. Number 2: mass density 7.94 g/cm³.